TlHg3Au8 PBE optimized geometry; V = 21.70 A^3/atom; total moment = 0.0 μB/f.u.; E_form = 0.02 eV/atom
1.0
-2.704 -4.410 -2.197
0.480 -5.001 2.520
-7.845 0.554 5.366
Tl Hg Au
1 3 8
direct
0.903 0.903 0.423
0.376 0.376 0.839
0.962 0.962 0.045
0.547 0.547 0.461
0.932 0.431 0.181
0.421 0.929 0.680
0.432 0.432 0.158
0.919 0.919 0.748
0.242 0.242 0.423
0.657 0.657 0.932
0.431 0.932 0.181
0.929 0.421 0.680